Model w:
# Tb12NdY6

A relaxed Tb12NdY6 crystal (PBE-GGA, Alexandria).

a = 11.9982 Å, b = 11.9982 Å, c = 15.1335 Å
α = 90.00°, β = 90.00°, γ = 120.00°
Space group R-3 (No. 148, hexagonal axes)
Inequivalent atoms, fractional coordinates:
Tb  0.0168  0.1800  0.1922
Tb  0.0415  0.1903  0.4166
Nd  0.0000  0.0000  0.0000
Y  0.0087  0.5868  0.6806

- density (g cm⁻³) = 6.8

=====

Model x:
# Tb12NdY6

A relaxed Tb12NdY6 crystal (PBE-GGA, Alexandria).

a = 13.2333 Å, b = 13.2333 Å, c = 12.6580 Å
α = 90.00°, β = 90.00°, γ = 120.00°
Space group R-3m (No. 166, hexagonal axes)
Inequivalent atoms, fractional coordinates:
Tb  0.0000  0.2568  0.0000
Tb  0.0917  0.1833  0.7641
Nd  0.0000  0.0000  0.5000
Y  0.0373  0.5186  0.1210

- density (g cm⁻³) = 6.7

=====

What should be chosen as the least stable of them? Choose model x.

=====

Model w:
# Tb3NdY5

A relaxed Tb3NdY5 crystal (PBE-GGA, Alexandria).

a = 8.686 Å, b = 8.686 Å, c = 15.538 Å
α = 90.00°, β = 90.00°, γ = 90.00°
Space group I4/mcm (No. 140)
Inequivalent atoms, fractional coordinates:
Tb  0.000  0.000  0.250
Tb  0.118  0.382  0.000
Nd  0.000  0.500  0.250
Y  0.000  0.000  0.000
Y  0.204  0.296  0.364

- density (g cm⁻³) = 6.0

=====

Model x:
# Tb3NdY5

A relaxed Tb3NdY5 crystal (PBE-GGA, Alexandria).

a = 18.393 Å, b = 6.346 Å, c = 11.349 Å
α = 90.00°, β = 111.69°, γ = 90.00°
Space group C2/c (No. 15)
Inequivalent atoms, fractional coordinates:
Tb  0.000  0.000  0.000
Tb  0.170  0.183  0.373
Nd  0.000  0.127  0.750
Y  0.000  0.400  0.250
Y  0.161  0.306  0.015
Y  0.170  0.282  0.710

- density (g cm⁻³) = 5.7

=====

What should be chosen as the least stable of them? Choose model x.

=====

Model w:
# Tb3NdY

A relaxed Tb3NdY crystal (PBE-GGA, Alexandria).

a = 6.334 Å, b = 5.727 Å, c = 9.667 Å
α = 90.00°, β = 109.08°, γ = 90.00°
Space group P2_1/m (No. 11)
Inequivalent atoms, fractional coordinates:
Tb  0.132  0.250  0.099
Tb  0.267  0.750  0.700
Tb  0.336  0.250  0.499
Nd  0.067  0.750  0.300
Y  0.467  0.750  0.100

- density (g cm⁻³) = 7.1

=====

Model x:
# Tb3NdY

A relaxed Tb3NdY crystal (PBE-GGA, Alexandria).

a = 15.415 Å, b = 13.269 Å, c = 6.617 Å
α = 90.00°, β = 103.69°, γ = 90.00°
Space group C2/c (No. 15)
Inequivalent atoms, fractional coordinates:
Tb  0.101  0.185  0.451
Tb  0.201  0.313  0.150
Tb  0.202  0.425  0.647
Nd  0.000  0.314  0.750
Nd  0.000  0.424  0.250
Y  0.100  0.074  0.951

- density (g cm⁻³) = 7.2

=====

What should be chosen as the least stable of them? Choose model x.

=====

Model w:
# TbNd2Y3

A relaxed TbNd2Y3 crystal (PBE-GGA, Alexandria).

a = 14.972 Å, b = 9.788 Å, c = 6.061 Å
α = 90.00°, β = 113.62°, γ = 90.00°
Space group C2/c (No. 15)
Inequivalent atoms, fractional coordinates:
Tb  0.000  0.000  0.000
Nd  0.134  0.281  0.386
Y  0.000  0.390  0.750
Y  0.232  0.084  0.977

- density (g cm⁻³) = 5.8

=====

Model x:
# TbNd2Y3

A relaxed TbNd2Y3 crystal (PBE-GGA, Alexandria).

a = 6.674 Å, b = 17.751 Å, c = 3.418 Å
α = 90.00°, β = 90.00°, γ = 90.00°
Space group Pnnm (No. 58)
Inequivalent atoms, fractional coordinates:
Tb  0.000  0.000  0.000
Nd  0.236  0.350  0.500
Y  0.000  0.500  0.000
Y  0.240  0.179  0.000

- density (g cm⁻³) = 5.9

=====

What should be chosen as the least stable of them? Choose model x.

=====

Model w:
# Tb2Nd4Y5

A relaxed Tb2Nd4Y5 crystal (PBE-GGA, Alexandria).

a = 19.587 Å, b = 5.823 Å, c = 6.467 Å
α = 90.00°, β = 92.93°, γ = 90.00°
Space group C2/m (No. 12)
Inequivalent atoms, fractional coordinates:
Tb  0.097  0.000  0.046
Nd  0.029  0.500  0.772
Nd  0.193  0.000  0.568
Y  0.000  0.000  0.500
Y  0.133  0.500  0.372
Y  0.212  0.500  0.897

- density (g cm⁻³) = 6.0

=====

Model x:
# Tb2Nd4Y5

A relaxed Tb2Nd4Y5 crystal (PBE-GGA, Alexandria).

a = 24.017 Å, b = 3.530 Å, c = 9.007 Å
α = 90.00°, β = 98.88°, γ = 90.00°
Space group C2/m (No. 12)
Inequivalent atoms, fractional coordinates:
Tb  0.101  0.000  0.200
Nd  0.027  0.000  0.688
Nd  0.130  0.500  0.537
Y  0.000  0.500  0.000
Y  0.176  0.000  0.902
Y  0.232  0.000  0.324

- density (g cm⁻³) = 5.9

=====

What should be chosen as the least stable of them? Choose model x.